1.
# HgBrCl5 GGA-PBE relaxed
# crystal system = triclinic
data_HgBrCl5
_chemical_formula_sum 'Hg2 Br2 Cl10'
_cell_length_a 5.3847
_cell_length_b 8.3041
_cell_length_c 11.2250
_cell_angle_alpha 97.91
_cell_angle_beta 93.49
_cell_angle_gamma 91.47
_space_group_name_H-M_alt 'P -1'
_space_group_IT_number 2
_space_group_name_Hall '-P 1'
loop_
_atom_site_label
_atom_site_type_symbol
_atom_site_fract_x
_atom_site_fract_y
_atom_site_fract_z
Hg1 Hg 0.0000 0.0000 0.0000
Hg2 Hg 0.0000 0.5000 0.5000
Br1 Br 0.4041 0.2343 0.7803
Cl1 Cl 0.0139 0.2184 0.4546
Cl2 Cl 0.0570 0.2709 0.9688
Cl3 Cl 0.3096 0.5041 0.7503
Cl4 Cl 0.3228 0.7895 0.3668
Cl5 Cl 0.4753 0.9629 0.8265

***

2.
# HgBr2Cl5 GGA-PBE relaxed
# crystal system = triclinic
data_HgBr2Cl5
_chemical_formula_sum 'Hg1 Br2 Cl5'
_cell_length_a 5.2145
_cell_length_b 7.8716
_cell_length_c 8.1091
_cell_angle_alpha 70.13
_cell_angle_beta 75.90
_cell_angle_gamma 89.57
_space_group_name_H-M_alt 'P 1'
_space_group_IT_number 1
_space_group_name_Hall 'P 1'
loop_
_atom_site_label
_atom_site_type_symbol
_atom_site_fract_x
_atom_site_fract_y
_atom_site_fract_z
Hg1 Hg 0.0000 0.0000 0.0000
Br1 Br 0.1683 0.2640 0.3068
Br2 Br 0.6053 0.5602 0.4766
Cl1 Cl 0.0339 0.7337 0.9288
Cl2 Cl 0.3430 0.2485 0.5452
Cl3 Cl 0.5085 0.0088 0.9773
Cl4 Cl 0.8429 0.8162 0.4257
Cl5 Cl 0.9680 0.2899 0.0458

***

3.
# Hg5Br12Cl3 GGA-PBE relaxed
# crystal system = cubic
data_Hg5Br12Cl3
_chemical_formula_sum 'Hg40 Br96 Cl24'
_cell_length_a 17.8602
_cell_length_b 17.8602
_cell_length_c 17.8602
_cell_angle_alpha 90.00
_cell_angle_beta 90.00
_cell_angle_gamma 90.00
_space_group_name_H-M_alt 'I a -3 d'
_space_group_IT_number 230
_space_group_name_Hall '-I 4bd 2c 3'
loop_
_atom_site_label
_atom_site_type_symbol
_atom_site_fract_x
_atom_site_fract_y
_atom_site_fract_z
Hg1 Hg 0.0000 0.0000 0.0000
Hg2 Hg 0.0000 0.2500 0.3750
Br1 Br 0.0189 0.0427 0.6528
Cl1 Cl 0.0000 0.2500 0.1250

***

4.
# Hg2BrCl2 GGA-PBE relaxed
# crystal system = tetragonal
# ΔE to the lowest computed polymorph = 161.5 meV per atom
data_Hg2BrCl2
_chemical_formula_sum 'Hg4 Br2 Cl4'
_cell_length_a 4.6878
_cell_length_b 4.6878
_cell_length_c 11.7966
_cell_angle_alpha 90.00
_cell_angle_beta 90.00
_cell_angle_gamma 90.00
_space_group_name_H-M_alt 'I 4/m m m'
_space_group_IT_number 139
_space_group_name_Hall '-I 4 2'
loop_
_atom_site_label
_atom_site_type_symbol
_atom_site_fract_x
_atom_site_fract_y
_atom_site_fract_z
Hg1 Hg 0.0000 0.0000 0.1171
Br1 Br 0.0000 0.0000 0.5000
Cl1 Cl 0.0000 0.5000 0.2500

***

5.
# HgBr2Cl GGA-PBE relaxed
# crystal system = orthorhombic
# ΔE to the lowest computed polymorph = 226.7 meV per atom
data_HgBr2Cl
_chemical_formula_sum 'Hg2 Br4 Cl2'
_cell_length_a 3.8970
_cell_length_b 8.5328
_cell_length_c 8.8327
_cell_angle_alpha 90.00
_cell_angle_beta 90.00
_cell_angle_gamma 90.00
_space_group_name_H-M_alt 'C m m 2'
_space_group_IT_number 35
_space_group_name_Hall 'C 2 -2'
loop_
_atom_site_label
_atom_site_type_symbol
_atom_site_fract_x
_atom_site_fract_y
_atom_site_fract_z
Hg1 Hg 0.0000 0.0000 0.0000
Br1 Br 0.0000 0.0000 0.5237
Br2 Br 0.0000 0.5000 0.7815
Cl1 Cl 0.0000 0.5000 0.1941

***

6.
# HgBrCl GGA-PBE relaxed
# crystal system = triclinic
data_HgBrCl
_chemical_formula_sum 'Hg2 Br2 Cl2'
_cell_length_a 4.1694
_cell_length_b 6.5176
_cell_length_c 7.8855
_cell_angle_alpha 89.98
_cell_angle_beta 89.93
_cell_angle_gamma 89.93
_space_group_name_H-M_alt 'P 1'
_space_group_IT_number 1
_space_group_name_Hall 'P 1'
loop_
_atom_site_label
_atom_site_type_symbol
_atom_site_fract_x
_atom_site_fract_y
_atom_site_fract_z
Hg1 Hg 0.0000 0.0000 0.0000
Hg2 Hg 0.5002 0.5002 0.3229
Br1 Br 0.1079 0.5004 0.5571
Br2 Br 0.6087 0.0001 0.7658
Cl1 Cl 0.3329 0.9999 0.2432
Cl2 Cl 0.8332 0.5000 0.0793

***

| no. | formation energy (no corrections) (eV per atom) | total moment (μB per atom) | VASP energy (eV per atom) |
| --- | --- | --- | --- |
| 1 | -0.20 | 0.000 | -1.804 |
| 2 | -0.13 | 0.045 | -1.740 |
| 3 | -0.06 | 0.261 | -1.416 |
| 4 | -0.22 | 0.000 | -1.414 |
| 5 | -0.06 | 0.216 | -1.433 |
| 6 | -0.52 | 0.000 | -1.794 |